# Tl2AgOs (PBE, optimized geometry)
data_Tl2AgOs
_cell_length_a 3.2823
_cell_length_b 4.2719
_cell_length_c 5.8474
_cell_angle_alpha 90.00
_cell_angle_beta 90.00
_cell_angle_gamma 90.00
_space_group_name_H-M_alt 'P m m 2'
_space_group_IT_number 25
_space_group_name_Hall 'P 2 -2'
loop_
_atom_site_label
_atom_site_type_symbol
_atom_site_fract_x
_atom_site_fract_y
_atom_site_fract_z
Tl1 Tl 0.0000 0.0000 0.0000
Tl2 Tl 0.5000 0.5000 0.3335
Ag1 Ag 0.0000 0.0000 0.5362
Os1 Os 0.5000 0.5000 0.8241
# Crystal system: orthorhombic
# Magnetization (μB per cell): 0.4
# Excess energy over the best structure of this formula in the dataset (eV/atom): 0.175
# Energy relative to the elements (eV/atom): 0.82